Entry 1:
# YSiRu2 PBE relaxed
# raw formation energy = -0.163 eV per atom
# volume = 67.0 Å³/cell
# DOS(E_F) = 0.922 states/eV per atom
# space group = No. 25
data_YSiRu2
_chemical_formula_sum 'Y1 Si1 Ru2'
_cell_length_a 2.982
_cell_length_b 3.978
_cell_length_c 5.647
_cell_angle_alpha 90.00
_cell_angle_beta 90.00
_cell_angle_gamma 90.00
_space_group_name_H-M_alt 'P 1'
_space_group_IT_number 1
_space_group_name_Hall 'P 1'
loop_
_atom_site_label
_atom_site_type_symbol
_atom_site_fract_x
_atom_site_fract_y
_atom_site_fract_z
Y1 Y 0.000 0.000 0.000
Si1 Si 0.500 0.500 0.684
Ru1 Ru 0.000 0.000 0.511
Ru2 Ru 0.500 0.500 0.272

Entry 2:
# Ac3PmAs4 PBE relaxed
# volume = 253.8 Å³/cell
# DOS(E_F) = 0.073 states/eV per atom
# space group = No. 65
# polymorph energy (0 for the lowest one) = 0.000 eV per atom
data_Ac3PmAs4
_chemical_formula_sum 'Ac3 Pm1 As4'
_cell_length_a 7.751
_cell_length_b 7.751
_cell_length_c 4.478
_cell_angle_alpha 90.00
_cell_angle_beta 90.00
_cell_angle_gamma 109.40
_space_group_name_H-M_alt 'P 1'
_space_group_IT_number 1
_space_group_name_Hall 'P 1'
loop_
_atom_site_label
_atom_site_type_symbol
_atom_site_fract_x
_atom_site_fract_y
_atom_site_fract_z
Ac1 Ac 0.000 0.000 0.000
Ac2 Ac 0.000 0.500 0.500
Ac3 Ac 0.500 0.000 0.500
Pm1 Pm 0.500 0.500 0.000
As1 As 0.256 0.744 0.000
As2 As 0.260 0.260 0.500
As3 As 0.740 0.740 0.500
As4 As 0.744 0.256 0.000